The following is a DFT calculation (GGA-PBE) of an optimized crystal structure of ReHgBi3.

For the formation energy, the calculation gives 0.703 eV/atom. The magnetization is 0.000 Bohr magnetons per cell. As for the density of states at the Fermi level: 1.51 states/eV per cell.

The structure in CIF format:
```
data_ReHgBi3
_chemical_formula_sum 'Re1 Hg1 Bi3'
_cell_length_a 5.382
_cell_length_b 5.382
_cell_length_c 5.382
_cell_angle_alpha 90.00
_cell_angle_beta 90.00
_cell_angle_gamma 90.00
_symmetry_space_group_name_H-M 'P m -3 m'
_symmetry_Int_Tables_number 221
_symmetry_space_group_name_Hall '-P 4 2 3'
loop_
_atom_site_label
_atom_site_type_symbol
_atom_site_fract_x
_atom_site_fract_y
_atom_site_fract_z
_atom_site_occupancy
Re1 Re 0.000 0.000 0.000 1
Hg1 Hg 0.500 0.500 0.500 1
Bi1 Bi 0.000 0.000 0.500 1
```